Record 1
A plane-wave DFT calculation with PBE was carried out for a relaxed CsHfGe crystal.

Values from the calculation:
total magnetic moment	1.0	μB/f.u.
space group	No. 216
V	387	Å³ per cell
energy above the most stable polymorph in this dataset	0.056	eV/atom

CIF file:
```
data_CsHfGe
_cell_length_a 7.2889
_cell_length_b 7.2889
_cell_length_c 7.2889
_cell_angle_alpha 90.00
_cell_angle_beta 90.00
_cell_angle_gamma 90.00
_symmetry_space_group_name_H-M 'P 1'
_symmetry_Int_Tables_number 1
loop_
_symmetry_equiv_pos_as_xyz
'x,y,z'
loop_
_atom_site_label
_atom_site_type_symbol
_atom_site_fract_x
_atom_site_fract_y
_atom_site_fract_z
Cs1 Cs 0.0000 0.0000 0.0000
Cs2 Cs 0.0000 0.5000 0.5000
Cs3 Cs 0.5000 0.0000 0.5000
Cs4 Cs 0.5000 0.5000 0.0000
Hf1 Hf 0.0000 0.0000 0.5000
Hf2 Hf 0.0000 0.5000 0.0000
Hf3 Hf 0.5000 0.0000 0.0000
Hf4 Hf 0.5000 0.5000 0.5000
Ge1 Ge 0.2500 0.2500 0.2500
Ge2 Ge 0.2500 0.7500 0.7500
Ge3 Ge 0.7500 0.2500 0.7500
Ge4 Ge 0.7500 0.7500 0.2500
```

Record 2
A plane-wave DFT calculation with PBE was carried out for a relaxed CsHf3Ge5 crystal.

Values from the calculation:
total magnetic moment	0.0	μB/f.u.
final energy	-54.76	eV for the cell shown
space group	No. 191
V	211	Å³ per cell

CIF file:
```
data_CsHf3Ge5
_cell_length_a 5.9309
_cell_length_b 5.9309
_cell_length_c 6.9357
_cell_angle_alpha 90.00
_cell_angle_beta 90.00
_cell_angle_gamma 120.00
_symmetry_space_group_name_H-M 'P 1'
_symmetry_Int_Tables_number 1
loop_
_symmetry_equiv_pos_as_xyz
'x,y,z'
loop_
_atom_site_label
_atom_site_type_symbol
_atom_site_fract_x
_atom_site_fract_y
_atom_site_fract_z
Cs1 Cs 0.0000 0.0000 0.0000
Hf1 Hf 0.0000 0.5000 0.5000
Hf2 Hf 0.5000 0.0000 0.5000
Hf3 Hf 0.5000 0.5000 0.5000
Ge1 Ge 0.0000 0.0000 0.5000
Ge2 Ge 0.3333 0.6667 0.1813
Ge3 Ge 0.3333 0.6667 0.8187
Ge4 Ge 0.6667 0.3333 0.1813
Ge5 Ge 0.6667 0.3333 0.8187
```